Run A
The following is a PBE calculation of a relaxed LiZnNiPb crystal, from OQMD.

**Total magnetization**: 0.0 μB per formula unit
**Crystal system**: cubic

Unit cell a=4.4521 b=4.4521 c=4.4521 alpha=60.00 beta=60.00 gamma=60.00
With the nearest neighbours (Å) after each atom.
Fractional coordinates of all 4 atoms:
1 Zn 0.7500 0.7500 0.7500  4 Ni 2.73, 4 Li 2.73
2 Pb 0.2500 0.2500 0.2500  4 Ni 2.73, 4 Li 2.73
3 Ni 0.5000 0.5000 0.5000  4 Pb 2.73, 4 Zn 2.73
4 Li 0.0000 0.0000 0.0000  4 Pb 2.73, 4 Zn 2.73



Run B
The following is a PBE calculation of a relaxed LiZnNiPb crystal, from OQMD.

**Total magnetization**: 0.0 μB per formula unit
**Crystal system**: cubic

Unit cell a=4.5215 b=4.5215 c=4.5215 alpha=60.00 beta=60.00 gamma=60.00
With the nearest neighbours (Å) after each atom.
Fractional coordinates of all 4 atoms:
1 Li 0.7500 0.7500 0.7500  4 Ni 2.77, 4 Zn 2.77
2 Zn 0.0000 0.0000 0.0000  4 Pb 2.77, 4 Li 2.77
3 Ni 0.5000 0.5000 0.5000  4 Pb 2.77, 4 Li 2.77
4 Pb 0.2500 0.2500 0.2500  4 Ni 2.77, 4 Zn 2.77



Most stable structure, least stable structure: run A, run B.



Run A
The following is a PBE calculation of a relaxed LiPuNi crystal, from OQMD.

**Total magnetization**: 6.6 μB per formula unit
**Crystal system**: cubic

Unit cell a=4.3670 b=4.3670 c=4.3670 alpha=60.00 beta=60.00 gamma=60.00
With the nearest neighbours (Å) after each atom.
Fractional coordinates of all 3 atoms:
1 Li 0.2500 0.2500 0.2500  4 Pu 2.67
2 Ni 0.7500 0.7500 0.7500  4 Pu 2.67
3 Pu 0.0000 0.0000 0.0000  4 Ni 2.67, 4 Li 2.67



Run B
The following is a PBE calculation of a relaxed LiPuNi crystal, from OQMD.

**Total magnetization**: 6.2 μB per formula unit
**Crystal system**: cubic

Unit cell a=4.3898 b=4.3898 c=4.3898 alpha=60.00 beta=60.00 gamma=60.00
With the nearest neighbours (Å) after each atom.
Fractional coordinates of all 3 atoms:
1 Pu 0.5000 0.5000 0.5000  4 Ni 2.69
2 Li 0.0000 0.0000 0.0000  4 Ni 2.69
3 Ni 0.2500 0.2500 0.2500  4 Pu 2.69, 4 Li 2.69



Most stable structure, least stable structure: run B, run A.



Run A
The following is a PBE calculation of a relaxed RbLiNi crystal, from OQMD.

**Total magnetization**: 0.0 μB per formula unit
**Crystal system**: cubic

Unit cell a=5.1150 b=5.1150 c=5.1150 alpha=60.00 beta=60.00 gamma=60.00
With the nearest neighbours (Å) after each atom.
Fractional coordinates of all 3 atoms:
1 Rb 0.0000 0.0000 0.0000  4 Li 3.13, 4 Ni 3.13
2 Li 0.2500 0.2500 0.2500  4 Rb 3.13
3 Ni 0.7500 0.7500 0.7500  4 Rb 3.13



Run B
The following is a PBE calculation of a relaxed RbLiNi crystal, from OQMD.

**Total magnetization**: 0.0 μB per formula unit
**Crystal system**: cubic

Unit cell a=4.8952 b=4.8952 c=4.8952 alpha=60.00 beta=60.00 gamma=60.00
With the nearest neighbours (Å) after each atom.
Fractional coordinates of all 3 atoms:
1 Ni 0.0000 0.0000 0.0000  4 Li 3.00, 4 Rb 3.00
2 Li 0.2500 0.2500 0.2500  4 Ni 3.00
3 Rb 0.7500 0.7500 0.7500  4 Ni 3.00



Most stable structure, least stable structure: run B, run A.